A plane-wave DFT calculation with PBE with a Hubbard U was carried out for a relaxed RbNiSe2O8 crystal.

Structure (CIF):
```
data_RbNiSe2O8
_chemical_formula_sum 'Rb3 Ni3 Se6 O24'
_cell_length_a 5.0036
_cell_length_b 5.0036
_cell_length_c 26.4067
_cell_angle_alpha 90.00
_cell_angle_beta 90.00
_cell_angle_gamma 120.00
_space_group_name_H-M_alt 'R -3'
_space_group_IT_number 148
_space_group_name_Hall '-R 3'
loop_
_atom_site_label
_atom_site_type_symbol
_atom_site_fract_x
_atom_site_fract_y
_atom_site_fract_z
Rb1 Rb 0.0000 0.0000 0.0000
Ni1 Ni 0.0000 0.0000 0.5000
Se1 Se 0.0000 0.0000 0.2312
O1 O 0.0000 0.0000 0.2937
O2 O 0.0005 0.3600 0.1219
```

Summary:
E   -5.000 eV per atom